No. 1
VASP calculation (PBE-GGA) on a relaxed NdGdNi2 crystal.

abc: 4.405 5.517 5.517
angles: 38.80 90.00 90.00
Fractional positions:
Gd 0.000 0.863 0.863
Nd 0.500 0.139 0.139
Ni 0.500 0.423 0.423
Ni 0.000 0.574 0.574

Summary:
ρ: 8.3 g/cm³
Spin magnetization: 0.0 μB/f.u.
Formation energy: -1.5 eV per formula unit


No. 2
VASP calculation (PBE-GGA) on a relaxed NdGdNi2P2 crystal.

abc: 3.937 3.937 7.910
angles: 90.00 90.00 120.00
Fractional positions:
Gd 0.000 0.000 0.000
Nd 0.000 0.000 0.500
Ni 0.333 0.667 0.245
Ni 0.667 0.333 0.755
P 0.667 0.333 0.242
P 0.333 0.667 0.758

Summary:
ρ: 7.5 g/cm³
Spin magnetization: 0.0 μB/f.u.
VASP energy: -38.52 eV per cell


No. 3
VASP calculation (PBE-GGA) on a relaxed NdGdNi2Pb crystal.

abc: 3.740 7.516 7.516
angles: 31.47 90.00 90.00
Fractional positions:
Gd 0.000 0.640 0.640
Nd 0.000 0.361 0.361
Ni 0.500 0.200 0.200
Ni 0.500 0.798 0.798
Pb 0.500 0.001 0.001

Summary:
ρ: 9.4 g/cm³
Spin magnetization: 0.0 μB/f.u.
VASP energy: -26.63 eV per cell


No. 4
VASP calculation (PBE-GGA) on a relaxed NdGd2NiPt2Pb3 crystal.

abc: 3.929 7.838 7.838
angles: 120.21 90.00 90.00
Fractional positions:
Gd 0.500 0.595 0.000
Gd 0.500 0.000 0.595
Nd 0.500 0.406 0.406
Ni 0.500 0.997 0.997
Pb 0.000 0.999 0.251
Pb 0.000 0.749 0.749
Pb 0.000 0.251 0.999
Pt 0.000 0.672 0.332
Pt 0.000 0.332 0.672

Summary:
ρ: 12.2 g/cm³
Spin magnetization: 0.0 μB/f.u.
VASP energy: -49.60 eV per cell


No. 5
VASP calculation (PBE-GGA) on a relaxed Nd2GdNiPt2Pb3 crystal.

abc: 3.953 7.846 7.846
angles: 119.86 90.00 90.00
Fractional positions:
Gd 0.000 0.407 0.407
Nd 0.000 0.592 0.000
Nd 0.000 0.000 0.592
Ni 0.000 0.004 0.004
Pb 0.500 0.251 0.001
Pb 0.500 0.001 0.251
Pb 0.500 0.750 0.750
Pt 0.500 0.661 0.335
Pt 0.500 0.335 0.661

Summary:
ρ: 11.9 g/cm³
Spin magnetization: 0.0 μB/f.u.
VASP energy: -49.64 eV per cell


No. 6
VASP calculation (PBE-GGA) on a relaxed Nd2GdNiSn3Pt2 crystal.

abc: 4.019 7.600 7.600
angles: 119.89 90.00 90.00
Fractional positions:
Gd 0.000 0.594 0.594
Nd 0.000 0.408 0.000
Nd 0.000 0.000 0.408
Ni 0.000 0.997 0.997
Pt 0.500 0.665 0.338
Pt 0.500 0.338 0.665
Sn 0.500 0.245 0.245
Sn 0.500 0.998 0.754
Sn 0.500 0.754 0.998

Summary:
ρ: 10.3 g/cm³
Spin magnetization: 0.0 μB/f.u.
VASP energy: -52.41 eV per cell